A geometry-optimized Tl2CoP structure. Source: the Alexandria database, functional PBE.

Cell lengths 6.980, 6.980, 6.980 Å; angles 90.00, 90.00, 90.00 degrees
Space group F-43m (No. 216)
Asymmetric unit:
Tl1 0.000 0.000 0.000
Tl2 0.250 0.250 0.250
Co1 0.250 0.250 0.750
P1 0.000 0.000 0.500

Values from the calculation:
Total magnetization, μB/cell: 7.6
Raw total energy, eV/atom: -3.56
Crystal system: cubic
ΔH_f (0 K), kJ/mol of formula units: 290.0
Density of states at the Fermi level, states/eV/f.u.: 5.32
Distance to the lowest polymorph of the same formula, meV per atom: 692